Here is a relaxed structure of V3Fe2O8 from the Alexandria database. Energies are from PBEsol.

- formation energy without anion corrections (meV/atom) = -1959
- SG = P6_3mc
- spin magnetization (μB/f.u.) = 4.98

abc: 5.6919 5.6919 9.3508
angles: 90.00 90.00 120.00
Last column: nearest neighbours and their distance in Å.
Positions (direct):
1 V 0.1561 0.3122 0.0000  6 O 1.88-2.01
2 V 0.1561 0.8439 0.0000  6 O 1.88-2.01
3 V 0.3122 0.1561 0.5000  6 O 1.88-2.01
4 V 0.6878 0.8439 0.0000  6 O 1.88-2.01
5 V 0.8439 0.1561 0.5000  6 O 1.88-2.01
6 V 0.8439 0.6878 0.5000  6 O 1.88-2.01
7 Fe 0.3333 0.6667 0.2811  6 O 1.95-2.12
8 Fe 0.3333 0.6667 0.6902  4 O 1.89-1.91
9 Fe 0.6667 0.3333 0.1902  4 O 1.89-1.91
10 Fe 0.6667 0.3333 0.7811  6 O 1.95-2.12
11 O 0.0000 0.0000 0.1223  3 V 1.92
12 O 0.0000 0.0000 0.6223  3 V 1.92
13 O 0.0270 0.5135 0.1219  1 Fe 1.89, 2 V 2.00
14 O 0.1670 0.3341 0.3941  2 V 1.88, 1 Fe 1.95
15 O 0.1670 0.8330 0.3941  2 V 1.88, 1 Fe 1.95
16 O 0.3333 0.6667 0.8941  1 Fe 1.91, 3 V 2.01
17 O 0.3341 0.1670 0.8941  2 V 1.88, 1 Fe 1.95
18 O 0.4865 0.5135 0.1219  1 Fe 1.89, 2 V 2.00
19 O 0.4865 0.9730 0.1219  1 Fe 1.89, 2 V 2.00
20 O 0.5135 0.0270 0.6219  1 Fe 1.89, 2 V 2.00
21 O 0.5135 0.4865 0.6219  1 Fe 1.89, 2 V 2.00
22 O 0.6659 0.8330 0.3941  2 V 1.88, 1 Fe 1.95
23 O 0.6667 0.3333 0.3941  1 Fe 1.91, 3 V 2.01
24 O 0.8330 0.1670 0.8941  2 V 1.88, 1 Fe 1.95
25 O 0.8330 0.6659 0.8941  2 V 1.88, 1 Fe 1.95
26 O 0.9730 0.4865 0.6219  1 Fe 1.89, 2 V 2.00